Record 1
The following is a PBE calculation of an optimized crystal structure of BaHg4Au2, from Alexandria via LeMat-Bulk.

a = 8.9586 Å, b = 8.9586 Å, c = 4.6094 Å
α = 90.00°, β = 90.00°, γ = 149.52°
Positions (direct):
Ba (0.0000, 0.0000, 0.0000)
Hg (0.1786, 0.8214, 0.5000)
Hg (0.3157, 0.6843, 0.0000)
Hg (0.6843, 0.3157, 0.0000)
Hg (0.8214, 0.1786, 0.5000)
Au (0.4216, 0.5784, 0.5000)
Au (0.5784, 0.4216, 0.5000)

Values from the calculation:
formation energy from the elements: -2.18 eV/f.u.
energy above the lowest structure with this stoichiometry: 0.173 kcal/mol of atoms

***

Record 2
The following is a PBE calculation of an optimized crystal structure of NdLu3, from Alexandria via LeMat-Bulk.

a = 5.5976 Å, b = 5.5976 Å, c = 5.5976 Å
α = 60.00°, β = 60.00°, γ = 60.00°
Positions (direct):
Nd (0.0000, 0.0000, 0.0000)
Lu (0.2500, 0.2500, 0.2500)
Lu (0.5000, 0.5000, 0.5000)
Lu (0.7500, 0.7500, 0.7500)

Values from the calculation:
formation energy from the elements: 0.44 eV/f.u.
energy above the lowest structure with this stoichiometry: 2.339 kcal/mol of atoms

***

Record 3
The following is a PBE calculation of an optimized crystal structure of Be2NiMo, from Alexandria via LeMat-Bulk.

a = 4.9384 Å, b = 4.9384 Å, c = 4.9384 Å
α = 104.48°, β = 104.48°, γ = 119.99°
Positions (direct):
Be (0.0954, 0.1250, 0.4704)
Be (0.3750, 0.9046, 0.0296)
Be (0.6546, 0.6250, 0.5296)
Be (0.8750, 0.3454, 0.9704)
Ni (0.0000, 0.0000, 0.0000)
Ni (0.7500, 0.2500, 0.5000)
Mo (0.2500, 0.7500, 0.5000)
Mo (0.5000, 0.5000, 0.0000)

Values from the calculation:
formation energy from the elements: 1.00 eV/f.u.
energy above the lowest structure with this stoichiometry: 10.928 kcal/mol of atoms

***

Record 4
The following is a PBE calculation of an optimized crystal structure of Ta3HN, from Alexandria via LeMat-Bulk.

a = 5.7010 Å, b = 8.0653 Å, c = 5.4148 Å
α = 90.00°, β = 90.00°, γ = 90.00°
Positions (direct):
Ta (0.0579, 0.2500, 0.1435)
Ta (0.1689, 0.0742, 0.6583)
Ta (0.1689, 0.4258, 0.6583)
Ta (0.3311, 0.5742, 0.1583)
Ta (0.3311, 0.9258, 0.1583)
Ta (0.4421, 0.7500, 0.6435)
Ta (0.5579, 0.2500, 0.3565)
Ta (0.6689, 0.0742, 0.8417)
Ta (0.6689, 0.4258, 0.8417)
Ta (0.8311, 0.5742, 0.3417)
Ta (0.8311, 0.9258, 0.3417)
Ta (0.9421, 0.7500, 0.8565)
H (0.0239, 0.7500, 0.5068)
H (0.4761, 0.2500, 0.0068)
H (0.5239, 0.7500, 0.9932)
H (0.9761, 0.2500, 0.4932)
N (0.0000, 0.0000, 0.0000)
N (0.0000, 0.5000, 0.0000)
N (0.5000, 0.0000, 0.5000)
N (0.5000, 0.5000, 0.5000)

Values from the calculation:
energy above the lowest structure with this stoichiometry: 0.000 kcal/mol of atoms

***

Record 5
The following is a PBE calculation of an optimized crystal structure of ScSb3, from Alexandria via LeMat-Bulk.

a = 4.2776 Å, b = 6.0351 Å, c = 4.3949 Å
α = 90.00°, β = 90.00°, γ = 90.00°
Positions (direct):
Sc (0.0000, 0.0000, 0.0000)
Sb (0.0000, 0.5000, 0.9000)
Sb (0.5000, 0.0000, 0.4935)
Sb (0.5000, 0.5000, 0.3432)

Values from the calculation:
formation energy from raw total energies: -368 meV per atom
energy above the lowest structure with this stoichiometry: 0.000 kcal/mol of atoms

***

Record 6
The following is a PBE calculation of an optimized crystal structure of MgSbIr2, from Alexandria via LeMat-Bulk.

a = 3.0402 Å, b = 4.1077 Å, c = 5.4194 Å
α = 90.00°, β = 90.00°, γ = 90.00°
Positions (direct):
Mg (0.0000, 0.0000, 0.0000)
Sb (0.5000, 0.5000, 0.3220)
Ir (0.0000, 0.0000, 0.5119)
Ir (0.5000, 0.5000, 0.8236)

Values from the calculation:
formation energy from raw total energies: -78 meV per atom